Compound: LiCaTe2
Source: Alexandria
Functional: PBE-GGA
Structure: optimized geometry

POSCAR file:
```
LiCaTe2
1.0
4.558 0.000 0.000
2.279 3.948 0.000
2.279 1.316 6.722
Li Ca Te
1 1 2
direct
0.494 0.494 0.518 Li
0.669 0.669 0.994 Ca
0.088 0.088 0.735 Te
0.249 0.249 0.253 Te
```

Summary:
final energy: -3.57 eV per atom
D(E_F): 2.4 states/eV/f.u.
spin magnetization: 0.0 μB/cell
energy relative to the elements, uncorrected: -4.1 eV/f.u.

=====

Compound: MgZn2Pb
Source: Alexandria
Functional: PBE-GGA
Structure: optimized geometry

POSCAR file:
```
MgZn2Pb
1.0
3.292 0.053 0.000
-0.045 3.292 0.000
0.000 0.000 7.802
Mg Pb Zn
1 1 2
direct
0.000 0.000 0.453 Mg
0.500 0.500 0.766 Pb
0.000 0.000 0.052 Zn
0.500 0.500 0.229 Zn
```

Summary:
final energy: -1.92 eV per atom
D(E_F): 1.5 states/eV/f.u.
spin magnetization: 0.0 μB/cell
excess energy over the best structure of this formula in the dataset: 0.0054 eV per atom
calculated formation energy: 0.19 eV/f.u.